No. 1
{
  "formula": "MgC4",
  "functional": "PBE-GGA",
  "state": "optimized geometry",
  "lattice": [[4.0660, 0.0000, 0.0000], [0.0000, 4.0660, 0.0000], [0.0000, 0.0000, 4.0660]],
  "species": ["Mg", "C", "C", "C", "C"],
  "frac_coords": [[0.0000, 0.0000, 0.0000], [0.0000, 0.0000, 0.5000], [0.0000, 0.5000, 0.0000], [0.5000, 0.0000, 0.0000], [0.5000, 0.5000, 0.5000]],
  "n_ef_per_ev_atom": 0.4425,
  "formation_energy_kj_per_mol_atoms": 416.15
}


No. 2
{
  "formula": "MgC",
  "functional": "PBE-GGA",
  "state": "optimized geometry",
  "lattice": [[5.7947, 0.0000, 0.0000], [0.0000, 4.5776, 0.0000], [0.0000, 0.0000, 7.4270]],
  "species": ["Mg", "Mg", "Mg", "Mg", "Mg", "Mg", "Mg", "Mg", "C", "C", "C", "C", "C", "C", "C", "C"],
  "frac_coords": [[0.0523, 0.2500, 0.1298], [0.2316, 0.2500, 0.7527], [0.2684, 0.7500, 0.2527], [0.4477, 0.7500, 0.6298], [0.5523, 0.2500, 0.3702], [0.7316, 0.2500, 0.7473], [0.7684, 0.7500, 0.2473], [0.9477, 0.7500, 0.8702], [0.0219, 0.5873, 0.5819], [0.0219, 0.9127, 0.5819], [0.4781, 0.0873, 0.0819], [0.4781, 0.4127, 0.0819], [0.5219, 0.5873, 0.9181], [0.5219, 0.9127, 0.9181], [0.9781, 0.0873, 0.4181], [0.9781, 0.4127, 0.4181]],
  "n_ef_per_ev_atom": 0.1388,
  "formation_energy_kj_per_mol_atoms": 44.19
}


No. 3
{
  "formula": "MgC2",
  "functional": "PBE-GGA",
  "state": "optimized geometry",
  "lattice": [[3.9491, 0.0000, 0.0000], [-1.9745, 3.4200, 0.0000], [0.0000, 0.0000, 4.4737]],
  "species": ["Mg", "Mg", "C", "C", "C", "C"],
  "frac_coords": [[0.3333, 0.6667, 0.2500], [0.6667, 0.3333, 0.7500], [0.0000, 0.0000, 0.0000], [0.0000, 0.0000, 0.5000], [0.3333, 0.6667, 0.7500], [0.6667, 0.3333, 0.2500]],
  "n_ef_per_ev_atom": 0.6176,
  "formation_energy_kj_per_mol_atoms": 227.10
}


No. 4
{
  "formula": "MgC4",
  "functional": "PBE-GGA",
  "state": "optimized geometry",
  "lattice": [[-1.6324, 1.6324, 3.8065], [1.6324, -1.6324, 3.8065], [1.6324, 1.6324, -3.8065]],
  "species": ["Mg", "C", "C", "C", "C"],
  "frac_coords": [[0.0000, 0.0000, 0.0000], [0.2500, 0.7500, 0.5000], [0.3055, 0.3055, 0.0000], [0.6945, 0.6945, 0.0000], [0.7500, 0.2500, 0.5000]],
  "n_ef_per_ev_atom": 0.2845,
  "formation_energy_kj_per_mol_atoms": 180.38
}


No. 5
{
  "formula": "MgC2",
  "functional": "PBE-GGA",
  "state": "optimized geometry",
  "lattice": [[2.6393, 0.0000, 0.0000], [-1.3197, 2.2857, 0.0000], [0.0000, 0.0000, 4.2434]],
  "species": ["Mg", "C", "C"],
  "frac_coords": [[0.0000, 0.0000, 0.0000], [0.3333, 0.6667, 0.5542], [0.6667, 0.3333, 0.4458]],
  "formation_energy_kj_per_mol_atoms": 59.64
}


No. 6
{
  "formula": "Mg3C4",
  "functional": "PBE-GGA",
  "state": "optimized geometry",
  "lattice": [[4.5360, 0.0000, 0.0000], [0.0000, 4.5360, 0.0000], [0.0000, 0.0000, 4.5360]],
  "species": ["Mg", "Mg", "Mg", "C", "C", "C", "C"],
  "frac_coords": [[0.0000, 0.0000, 0.5000], [0.0000, 0.5000, 0.0000], [0.5000, 0.0000, 0.0000], [0.0000, 0.0000, 0.0000], [0.0000, 0.5000, 0.5000], [0.5000, 0.0000, 0.5000], [0.5000, 0.5000, 0.0000]],
  "n_ef_per_ev_atom": 0.9789,
  "formation_energy_kj_per_mol_atoms": 200.60
}


No. 7
{
  "formula": "MgC2",
  "functional": "PBE-GGA",
  "state": "optimized geometry",
  "lattice": [[3.6215, 0.0000, 0.0000], [-1.8107, 3.1363, 0.0000], [0.0000, 0.0000, 12.0957]],
  "species": ["Mg", "Mg", "Mg", "C", "C", "C", "C", "C", "C"],
  "frac_coords": [[0.0000, 0.0000, 0.0000], [0.3333, 0.6667, 0.6415], [0.6667, 0.3333, 0.3585], [0.0000, 0.0000, 0.4475], [0.0000, 0.0000, 0.5525], [0.3333, 0.6667, 0.8106], [0.3333, 0.6667, 0.9137], [0.6667, 0.3333, 0.0863], [0.6667, 0.3333, 0.1894]],
  "n_ef_per_ev_atom": 0.2944,
  "formation_energy_kj_per_mol_atoms": 71.23
}


No. 8
{
  "formula": "Mg3C4",
  "functional": "PBE-GGA",
  "state": "optimized geometry",
  "lattice": [[6.2214, 0.0000, 0.0000], [-3.1107, 5.3879, 0.0000], [0.0000, 0.0000, 2.6628]],
  "species": ["Mg", "Mg", "Mg", "C", "C", "C", "C"],
  "frac_coords": [[0.0000, 0.5000, 0.0000], [0.5000, 0.0000, 0.0000], [0.5000, 0.5000, 0.0000], [0.0000, 0.0000, 0.2477], [0.0000, 0.0000, 0.7523], [0.3333, 0.6667, 0.5000], [0.6667, 0.3333, 0.5000]],
  "n_ef_per_ev_atom": 0.2873,
  "formation_energy_kj_per_mol_atoms": 74.09
}


No. 9
{
  "formula": "MgC5",
  "functional": "PBE-GGA",
  "state": "optimized geometry",
  "lattice": [[0.0000, 3.0403, 3.0403], [3.0403, 0.0000, 3.0403], [3.0403, 3.0403, 0.0000]],
  "species": ["Mg", "C", "C", "C", "C", "C"],
  "frac_coords": [[0.0000, 0.0000, 0.0000], [0.4092, 0.4092, 0.4092], [0.4092, 0.4092, 0.7723], [0.4092, 0.7723, 0.4092], [0.7500, 0.7500, 0.7500], [0.7723, 0.4092, 0.4092]],
  "n_ef_per_ev_atom": 0.2529,
  "formation_energy_kj_per_mol_atoms": 259.87
}


No. 10
{
  "formula": "MgC",
  "functional": "PBE-GGA",
  "state": "optimized geometry",
  "lattice": [[-1.3127, 1.5776, 6.1264], [1.3127, -1.5776, 6.1264], [1.3127, 1.5776, -6.1264]],
  "species": ["Mg", "Mg", "C", "C"],
  "frac_coords": [[0.3705, 0.1205, 0.2500], [0.6295, 0.8795, 0.7500], [0.0295, 0.2795, 0.7500], [0.9705, 0.7205, 0.2500]],
  "n_ef_per_ev_atom": 0.2479,
  "formation_energy_kj_per_mol_atoms": 47.25
}


No. 11
{
  "formula": "MgC4",
  "functional": "PBE-GGA",
  "state": "optimized geometry",
  "lattice": [[-2.8590, 2.8590, 2.2025], [2.8590, -2.8590, 2.2025], [2.8590, 2.8590, -2.2025]],
  "species": ["Mg", "C", "C", "C", "C"],
  "frac_coords": [[0.0000, 0.0000, 0.0000], [0.0000, 0.3864, 0.3864], [0.0000, 0.6136, 0.6136], [0.3864, 0.0000, 0.3864], [0.6136, 0.0000, 0.6136]],
  "n_ef_per_ev_atom": 0.5168,
  "formation_energy_kj_per_mol_atoms": 156.64
}


No. 12
{
  "formula": "MgC2",
  "functional": "PBE-GGA",
  "state": "optimized geometry",
  "lattice": [[3.4458, 0.0000, 0.0000], [-1.7229, 2.9842, 0.0000], [0.0000, 0.0000, 7.5682]],
  "species": ["Mg", "Mg", "C", "C", "C", "C"],
  "frac_coords": [[0.0000, 0.0000, 0.0000], [0.0000, 0.0000, 0.5000], [0.3333, 0.6667, 0.1676], [0.3333, 0.6667, 0.3324], [0.6667, 0.3333, 0.6676], [0.6667, 0.3333, 0.8324]],
  "n_ef_per_ev_atom": 0.0000,
  "formation_energy_kj_per_mol_atoms": 52.31
}


No. 13
{
  "formula": "MgC2",
  "functional": "PBE-GGA",
  "state": "optimized geometry",
  "lattice": [[2.7189, 0.0000, 0.0000], [0.0000, 2.7189, 0.0000], [0.0000, 0.0000, 3.6043]],
  "species": ["Mg", "C", "C"],
  "frac_coords": [[0.0000, 0.0000, 0.0000], [0.0000, 0.5000, 0.5000], [0.5000, 0.0000, 0.5000]],
  "n_ef_per_ev_atom": 0.2160,
  "formation_energy_kj_per_mol_atoms": 166.83
}


No. 14
{
  "formula": "Mg2C3",
  "functional": "PBE-GGA",
  "state": "optimized geometry",
  "lattice": [[3.8076, 0.0000, 0.0000], [-1.9038, 3.2975, 0.0000], [0.0000, 0.0000, 4.5616]],
  "species": ["Mg", "Mg", "C", "C", "C"],
  "frac_coords": [[0.3333, 0.6667, 0.2541], [0.6667, 0.3333, 0.7459], [0.0000, 0.0000, 0.5000], [0.3333, 0.6667, 0.7633], [0.6667, 0.3333, 0.2367]],
  "n_ef_per_ev_atom": 0.5933,
  "formation_energy_kj_per_mol_atoms": 181.78
}


No. 15
{
  "formula": "MgC",
  "functional": "PBE-GGA",
  "state": "optimized geometry",
  "lattice": [[3.1241, 0.0000, 0.0000], [0.0000, 3.1241, 0.0000], [0.0000, 0.0000, 2.8989]],
  "species": ["Mg", "C"],
  "frac_coords": [[0.0000, 0.0000, 0.0000], [0.5000, 0.5000, 0.0000]],
  "n_ef_per_ev_atom": 0.5509,
  "formation_energy_kj_per_mol_atoms": 155.27
}


No. 16
{
  "formula": "MgC",
  "functional": "PBE-GGA",
  "state": "optimized geometry",
  "lattice": [[-1.7097, 4.5099, 2.7312], [1.7097, -4.5099, 2.7312], [1.7097, 4.5099, -2.7312]],
  "species": ["Mg", "Mg", "Mg", "C", "C", "C"],
  "frac_coords": [[0.0000, 0.0000, 0.0000], [0.4616, 0.1504, 0.3112], [0.8392, 0.1504, 0.6888], [0.0820, 0.7287, 0.3533], [0.2657, 0.7657, 0.5000], [0.3754, 0.7287, 0.6467]],
  "n_ef_per_ev_atom": 0.0021,
  "formation_energy_kj_per_mol_atoms": 35.49
}


No. 17
{
  "formula": "MgC",
  "functional": "PBE-GGA",
  "state": "optimized geometry",
  "lattice": [[4.1996, -1.5831, 0.0000], [4.1996, 1.5831, 0.0000], [-0.7158, 0.0000, 3.3798]],
  "species": ["Mg", "Mg", "C", "C"],
  "frac_coords": [[0.1457, 0.1457, 0.2134], [0.8543, 0.8543, 0.7866], [0.4298, 0.4298, 0.3481], [0.5702, 0.5702, 0.6519]],
  "n_ef_per_ev_atom": 0.3137,
  "formation_energy_kj_per_mol_atoms": 49.61
}


No. 18
{
  "formula": "MgC",
  "functional": "PBE-GGA",
  "state": "optimized geometry",
  "lattice": [[-3.2715, 3.2715, 3.2715], [3.2715, -3.2715, 3.2715], [3.2715, 3.2715, -3.2715]],
  "species": ["Mg", "Mg", "Mg", "Mg", "C", "C", "C", "C"],
  "frac_coords": [[0.0000, 0.0000, 0.4454], [0.0000, 0.4454, 0.0000], [0.4454, 0.0000, 0.0000], [0.5546, 0.5546, 0.5546], [0.0000, 0.0000, 0.8316], [0.0000, 0.8316, 0.0000], [0.1684, 0.1684, 0.1684], [0.8316, 0.0000, 0.0000]],
  "n_ef_per_ev_atom": 0.6335,
  "formation_energy_kj_per_mol_atoms": 91.81
}


No. 19
{
  "formula": "Mg4C5",
  "functional": "PBE-GGA",
  "state": "optimized geometry",
  "lattice": [[6.7059, 0.0000, 0.0000], [-3.3530, 5.8075, 0.0000], [0.0000, 0.0000, 5.1128]],
  "species": ["Mg", "Mg", "Mg", "Mg", "Mg", "Mg", "Mg", "Mg", "C", "C", "C", "C", "C", "C", "C", "C", "C", "C"],
  "frac_coords": [[0.0000, 0.0000, 0.0000], [0.0000, 0.0000, 0.5000], [0.0000, 0.3854, 0.2500], [0.0000, 0.6146, 0.7500], [0.3854, 0.0000, 0.2500], [0.3854, 0.3854, 0.7500], [0.6146, 0.0000, 0.7500], [0.6146, 0.6146, 0.2500], [0.0000, 0.2898, 0.7500], [0.0000, 0.7102, 0.2500], [0.2898, 0.0000, 0.7500], [0.2898, 0.2898, 0.2500], [0.3333, 0.6667, 0.0000], [0.3333, 0.6667, 0.5000], [0.6667, 0.3333, 0.0000], [0.6667, 0.3333, 0.5000], [0.7102, 0.0000, 0.2500], [0.7102, 0.7102, 0.7500]],
  "n_ef_per_ev_atom": 0.2835,
  "formation_energy_kj_per_mol_atoms": 162.34
}


No. 20
{
  "formula": "MgC2",
  "functional": "PBE-GGA",
  "state": "optimized geometry",
  "lattice": [[3.9496, 0.0000, 0.0000], [0.0000, 3.9496, 0.0000], [0.0000, 0.0000, 4.9863]],
  "species": ["Mg", "Mg", "C", "C", "C", "C"],
  "frac_coords": [[0.0000, 0.0000, 0.0000], [0.5000, 0.5000, 0.5000], [0.1124, 0.1124, 0.5000], [0.3876, 0.6124, 0.0000], [0.6124, 0.3876, 0.0000], [0.8876, 0.8876, 0.5000]],
  "n_ef_per_ev_atom": 0.0000,
  "formation_energy_kj_per_mol_atoms": 41.46
}